Record 1
# TaTiCd | Alexandria via LeMat-Bulk | GGA-PBE | optimized geometry
# total energy: -41.053 eV per cell
# crystal system: triclinic
# offset from the most stable computed form: 63 meV per atom
# ΔH_f (0 K): 0.0454 eV/atom
data_TaTiCd
_cell_length_a 2.8710
_cell_length_b 5.7696
_cell_length_c 7.1755
_cell_angle_alpha 101.67
_cell_angle_beta 96.91
_cell_angle_gamma 100.95
_symmetry_space_group_name_H-M 'P -1'
_symmetry_Int_Tables_number 2
loop_
_symmetry_equiv_pos_as_xyz
'x,y,z'
'-x,-y,-z'
loop_
_atom_site_label
_atom_site_fract_x
_atom_site_fract_y
_atom_site_fract_z
Ta1 0.1363 0.0978 0.3495
Ti1 0.1664 0.6007 0.3527
Cd1 0.4783 0.7469 0.9983

=====

Record 2
# RhAuBr4 | Alexandria via LeMat-Bulk | GGA-PBE | optimized geometry
# total energy: -40.508 eV per cell
# crystal system: cubic
# offset from the most stable computed form: 1494 meV per atom
# energy relative to the elements, uncorrected: 1.20 eV per atom
data_RhAuBr4
_cell_length_a 8.6008
_cell_length_b 8.6008
_cell_length_c 8.6008
_cell_angle_alpha 90.00
_cell_angle_beta 90.00
_cell_angle_gamma 90.00
_symmetry_space_group_name_H-M 'F -4 3 m'
_symmetry_Int_Tables_number 216
_symmetry_space_group_name_Hall 'F -4 2 3'
loop_
_atom_site_label
_atom_site_fract_x
_atom_site_fract_y
_atom_site_fract_z
Rh1 0.0000 0.0000 0.0000
Au1 0.2500 0.2500 0.7500
Br1 0.1250 0.1250 0.3750

=====

Number 1: N(E_F) 2.31 states/eV/f.u.. Number 2: N(E_F) 8.23 states/eV/f.u..